VASP calculation (PBE) on a geometry-optimized Ac2HoAl4Au3 structure.

a b c (Å): 4.4875 4.4875 11.7872
angles (deg): 90.00 90.00 90.00
Last column: nearest neighbours and their distance in Å.
Space group P-4m2 (No. 115)
Asymmetric unit:
Ac1 0.0000 0.5000 0.2348 (multiplicity 2)  8 Al 3.40-3.56, 4 Au 3.46
Ho1 0.0000 0.0000 0.5000 (multiplicity 1)  4 Al 2.95, 4 Au 3.17
Al1 0.0000 0.0000 0.0000 (multiplicity 1)  4 Au 2.64
Al2 0.0000 0.5000 0.6621 (multiplicity 2)  1 Au 2.59
Al3 0.5000 0.5000 0.0000 (multiplicity 1)  4 Au 2.64
Au1 0.0000 0.5000 0.8817 (multiplicity 2)  5 Al 2.59-2.64
Au2 0.5000 0.5000 0.5000 (multiplicity 1)  4 Al 2.95, 4 Ho 3.17

Output
ρ   9219 kg/m3
Formation enthalpy at 0 K   -0.6128 eV per atom
E_tot   -43.73 eV per cell

***

VASP calculation (PBE) on a geometry-optimized Tc2MoIr structure.

a b c (Å): 2.7601 2.7601 7.8126
angles (deg): 90.00 90.00 90.00
Last column: nearest neighbours and their distance in Å.
Space group P4mm (No. 99)
Asymmetric unit:
Tc1 0.0000 0.0000 0.0000 (multiplicity 1)  8 Tc 2.69-2.76, 4 Mo 2.81
Tc2 0.5000 0.5000 0.2376 (multiplicity 1)  8 Tc 2.69-2.76, 4 Ir 2.78
Mo1 0.5000 0.5000 0.7407 (multiplicity 1)  4 Mo 2.76, 4 Ir 2.76, 4 Tc 2.81
Ir1 0.0000 0.0000 0.4908 (multiplicity 1)  4 Ir 2.76, 4 Mo 2.76, 4 Tc 2.78

Output
ρ   13508 kg/m3
Formation enthalpy at 0 K   -0.0554 eV per atom
E_tot   -40.65 eV per cell